No. 1
# PBE Pm8SbSe6, relaxed
# Density in kg/m³: 6905
# Energy relative to the elements, uncorrected in eV/atom: -1.4252
data_Pm8SbSe6
_chemical_formula_sum 'Pm8 Sb1 Se6'
_cell_length_a 10.7264
_cell_length_b 10.7264
_cell_length_c 4.2367
_cell_angle_alpha 90.00
_cell_angle_beta 90.00
_cell_angle_gamma 120.00
_space_group_name_H-M_alt 'P -3'
_space_group_IT_number 147
_space_group_name_Hall '-P 3'
loop_
_atom_site_label
_atom_site_type_symbol
_atom_site_fract_x
_atom_site_fract_y
_atom_site_fract_z
_atom_site_occupancy
Pm1 Pm 0.0339 0.7113 0.2560 1
Pm2 Pm 0.3333 0.6667 0.7478 1
Sb1 Sb 0.0000 0.0000 0.5000 1
Se1 Se 0.1310 0.4820 0.2482 1



No. 2
# PBE Pm8Sb3Se4, relaxed
# Density in kg/m³: 6732
# Energy relative to the elements, uncorrected in eV/atom: -1.4076
data_Pm8Sb3Se4
_chemical_formula_sum 'Pm16 Sb6 Se8'
_cell_length_a 12.1917
_cell_length_b 12.2019
_cell_length_c 8.5993
_cell_angle_alpha 90.00
_cell_angle_beta 134.77
_cell_angle_gamma 90.00
_space_group_name_H-M_alt 'C 1 2/m 1'
_space_group_IT_number 12
_space_group_name_Hall '-C 2y'
loop_
_atom_site_label
_atom_site_type_symbol
_atom_site_fract_x
_atom_site_fract_y
_atom_site_fract_z
_atom_site_occupancy
Pm1 Pm 0.0000 0.2450 0.0000 1
Pm2 Pm 0.0000 0.2457 0.5000 1
Pm3 Pm 0.2402 0.0000 0.4891 1
Pm4 Pm 0.2402 0.0000 0.9912 1
Sb1 Sb 0.0000 0.5000 0.5000 1
Sb2 Sb 0.2500 0.2500 0.0000 1
Se1 Se 0.0000 0.0000 0.0000 1
Se2 Se 0.0000 0.0000 0.5000 1
Se3 Se 0.2500 0.2500 0.5000 1



No. 3
# PBE Pm3Sb2Se2, relaxed
# Density in kg/m³: 5711
# Energy above the lowest structure with this stoichiometry in eV/f.u.: 0.81
# Energy relative to the elements, uncorrected in eV/atom: -1.2565
data_Pm3Sb2Se2
_chemical_formula_sum 'Pm6 Sb4 Se4'
_cell_length_a 15.9069
_cell_length_b 4.3676
_cell_length_c 7.9701
_cell_angle_alpha 90.00
_cell_angle_beta 118.55
_cell_angle_gamma 90.00
_space_group_name_H-M_alt 'C 1 2/m 1'
_space_group_IT_number 12
_space_group_name_Hall '-C 2y'
loop_
_atom_site_label
_atom_site_type_symbol
_atom_site_fract_x
_atom_site_fract_y
_atom_site_fract_z
_atom_site_occupancy
Pm1 Pm 0.0000 0.0000 0.0000 1
Pm2 Pm 0.2166 0.5000 0.6870 1
Sb1 Sb 0.1425 0.5000 0.9949 1
Se1 Se 0.1276 0.0000 0.4223 1



No. 4
# PBE PmSbSe4, relaxed
# Density in kg/m³: 5762
# Energy relative to the elements, uncorrected in eV/atom: -0.7805
data_PmSbSe4
_chemical_formula_sum 'Pm4 Sb4 Se16'
_cell_length_a 13.3636
_cell_length_b 7.4051
_cell_length_c 7.4335
_cell_angle_alpha 90.00
_cell_angle_beta 114.09
_cell_angle_gamma 90.00
_space_group_name_H-M_alt 'C 1 2/c 1'
_space_group_IT_number 15
_space_group_name_Hall '-C 2yc'
loop_
_atom_site_label
_atom_site_type_symbol
_atom_site_fract_x
_atom_site_fract_y
_atom_site_fract_z
_atom_site_occupancy
Pm1 Pm 0.0000 0.2037 0.2500 1
Sb1 Sb 0.2500 0.2500 0.0000 1
Se1 Se 0.1003 0.4956 0.0938 1
Se2 Se 0.1480 0.0316 0.6428 1



No. 5
# PBE Pm2SbSe, relaxed
# Density in kg/m³: 7558
# Energy above the lowest structure with this stoichiometry in eV/f.u.: 1.19
# Energy relative to the elements, uncorrected in eV/atom: -1.2193
data_Pm2SbSe
_chemical_formula_sum 'Pm8 Sb4 Se4'
_cell_length_a 7.5552
_cell_length_b 7.5552
_cell_length_c 7.5552
_cell_angle_alpha 90.00
_cell_angle_beta 90.00
_cell_angle_gamma 90.00
_space_group_name_H-M_alt 'F m -3 m'
_space_group_IT_number 225
_space_group_name_Hall '-F 4 2 3'
loop_
_atom_site_label
_atom_site_type_symbol
_atom_site_fract_x
_atom_site_fract_y
_atom_site_fract_z
_atom_site_occupancy
Pm1 Pm 0.2500 0.2500 0.2500 1
Sb1 Sb 0.0000 0.0000 0.0000 1
Se1 Se 0.0000 0.0000 0.5000 1



No. 6
# PBE Pm3Sb5Se12, relaxed
# Density in kg/m³: 5339
# Energy relative to the elements, uncorrected in eV/atom: -0.7205
data_Pm3Sb5Se12
_chemical_formula_sum 'Pm24 Sb40 Se96'
_cell_length_a 17.0477
_cell_length_b 17.0477
_cell_length_c 17.0477
_cell_angle_alpha 90.00
_cell_angle_beta 90.00
_cell_angle_gamma 90.00
_space_group_name_H-M_alt 'I a -3 d'
_space_group_IT_number 230
_space_group_name_Hall '-I 4bd 2c 3'
loop_
_atom_site_label
_atom_site_type_symbol
_atom_site_fract_x
_atom_site_fract_y
_atom_site_fract_z
_atom_site_occupancy
Pm1 Pm 0.0000 0.2500 0.1250 1
Sb1 Sb 0.0000 0.0000 0.0000 1
Sb2 Sb 0.0000 0.2500 0.3750 1
Se1 Se 0.0161 0.0678 0.6532 1



No. 7
# PBE Pm5Sb2Se2, relaxed
# Density in kg/m³: 7442
# Energy relative to the elements, uncorrected in eV/atom: -1.2650
data_Pm5Sb2Se2
_chemical_formula_sum 'Pm20 Sb8 Se8'
_cell_length_a 15.2644
_cell_length_b 8.0678
_cell_length_c 8.1636
_cell_angle_alpha 90.00
_cell_angle_beta 90.00
_cell_angle_gamma 90.00
_space_group_name_H-M_alt 'C m c e'
_space_group_IT_number 64
_space_group_name_Hall '-C 2ac 2'
loop_
_atom_site_label
_atom_site_type_symbol
_atom_site_fract_x
_atom_site_fract_y
_atom_site_fract_z
_atom_site_occupancy
Pm1 Pm 0.0000 0.0000 0.0000 1
Pm2 Pm 0.1420 0.1623 0.3460 1
Sb1 Sb 0.0000 0.1414 0.6423 1
Se1 Se 0.1948 0.0000 0.0000 1



No. 8
# PBE Pm3SbSe2, relaxed
# Density in kg/m³: 7020
# Energy above the lowest structure with this stoichiometry in eV/f.u.: 0.00
# Energy relative to the elements, uncorrected in eV/atom: -1.6220
data_Pm3SbSe2
_chemical_formula_sum 'Pm6 Sb2 Se4'
_cell_length_a 4.3014
_cell_length_b 6.0979
_cell_length_c 12.8896
_cell_angle_alpha 90.00
_cell_angle_beta 90.00
_cell_angle_gamma 90.00
_space_group_name_H-M_alt 'I m m m'
_space_group_IT_number 71
_space_group_name_Hall '-I 2 2'
loop_
_atom_site_label
_atom_site_type_symbol
_atom_site_fract_x
_atom_site_fract_y
_atom_site_fract_z
_atom_site_occupancy
Pm1 Pm 0.0000 0.0000 0.0000 1
Pm2 Pm 0.0000 0.0000 0.3264 1
Sb1 Sb 0.0000 0.5000 0.0000 1
Se1 Se 0.0000 0.5000 0.3356 1



Look up the density of the third one.
5711 kg/m³